(1)
Entry from Alexandria via LeMat-Bulk: a crystal of BeTe2Se relaxed with PBEsol (meta-GGA SCAN).

abc: 4.7028 4.7028 21.3927
angles: 90.00 90.00 120.00
Space group R-3m (No. 166, hexagonal axes)
Unique sites:
Be1 0.0000 0.0000 0.0000 [3 per cell]
Te1 0.0000 0.0000 0.1051 [6 per cell]
Se1 0.0000 0.0000 0.5000 [3 per cell]

The value obtained for the raw formation energy is 0.58 eV/atom. As for the crystal system: trigonal. Its total magnetization is 0.44 μB/f.u. Its calculated volume is 409.74 Å³ per cell. As for the energy relative to the lowest polymorph listed for this composition: 449 meV/atom.

(2)
Entry from Alexandria via LeMat-Bulk: a crystal of Al2WAu relaxed with PBEsol (meta-GGA SCAN).

abc: 6.210 6.210 6.210
angles: 90.00 90.00 90.00
Space group Fm-3m (No. 225)
Unique sites:
Al1 0.250 0.250 0.250 [8 per cell]
W1 0.000 0.000 0.000 [4 per cell]
Au1 0.000 0.000 0.500 [4 per cell]

For the formation energy, the calculation gives -0.088 eV/atom. As for the crystal system: cubic. Its total magnetization is 0.00 μB/f.u. Its calculated volume is 239.51 Å³ per cell. As for the energy relative to the lowest polymorph listed for this composition: 140 meV/atom.

(3)
Entry from Alexandria via LeMat-Bulk: a crystal of Cu3SbF relaxed with PBEsol (meta-GGA SCAN).

abc: 4.768 4.768 4.768
angles: 90.00 90.00 90.00
Space group Pm-3m (No. 221)
Unique sites:
Cu1 0.000 0.000 0.500 [3 per cell]
Sb1 0.000 0.000 0.000 [1 per cell]
F1 0.500 0.500 0.500 [1 per cell]

The value obtained for the raw formation energy is 0.44 eV/atom. As for the crystal system: cubic. Its total magnetization is 0.64 μB/f.u. Its calculated volume is 108.37 Å³ per cell. As for the energy relative to the lowest polymorph listed for this composition: 472 meV/atom.

(4)
Entry from Alexandria via LeMat-Bulk: a crystal of FeSiAg relaxed with PBEsol (meta-GGA SCAN).

abc: 4.0431 4.0431 2.8171
angles: 90.00 90.00 120.00
Space group P3m1 (No. 156)
Unique sites:
Fe1 0.0000 0.0000 0.0000 [1 per cell]
Si1 0.3333 0.6667 0.0036 [1 per cell]
Ag1 0.6667 0.3333 0.5004 [1 per cell]

The value obtained for the raw formation energy is 0.27 eV/atom. As for the crystal system: trigonal. Its total magnetization is 1.85 μB/f.u. Its calculated volume is 39.88 Å³ per cell. As for the energy relative to the lowest polymorph listed for this composition: 19 meV/atom.

(5)
Entry from Alexandria via LeMat-Bulk: a crystal of K2NiRh relaxed with PBEsol (meta-GGA SCAN).

abc: 3.950 3.978 10.163
angles: 90.00 90.00 90.00
Space group Cmmm (No. 65)
Unique sites:
K1 0.000 0.000 0.247 [4 per cell]
Ni1 0.000 0.500 0.000 [2 per cell]
Rh1 0.000 0.500 0.500 [2 per cell]

For the formation energy, the calculation gives 0.913 eV/atom. As for the crystal system: orthorhombic. Its total magnetization is 1.52 μB/f.u. Its calculated volume is 159.68 Å³ per cell.

(6)
Entry from Alexandria via LeMat-Bulk: a crystal of Cr2SiOs relaxed with PBEsol (meta-GGA SCAN).

abc: 2.722 4.047 4.450
angles: 90.00 90.00 90.00
Space group Pmm2 (No. 25)
Unique sites:
Cr1 0.000 0.000 0.000 [1 per cell]
Cr2 0.000 0.500 0.283 [1 per cell]
Si1 0.500 0.000 0.462 [1 per cell]
Os1 0.500 0.500 0.781 [1 per cell]

The value obtained for the raw formation energy is -0.14 eV/atom. As for the crystal system: orthorhombic. Its total magnetization is 0.22 μB/f.u. Its calculated volume is 49.01 Å³ per cell.

(7)
Entry from Alexandria via LeMat-Bulk: a crystal of Ba2YB2ClO6 relaxed with PBEsol (meta-GGA SCAN).

abc: 6.399 5.289 11.281
angles: 90.00 96.46 90.00
Space group P2_1/m (No. 11)
Unique sites:
Ba1 0.093 0.250 0.206 [2 per cell]
Ba2 0.341 0.250 0.574 [2 per cell]
Y1 0.348 0.250 0.913 [2 per cell]
B1 0.210 0.750 0.073 [2 per cell]
B2 0.377 0.750 0.726 [2 per cell]
Cl1 0.150 0.750 0.415 [2 per cell]
O1 0.006 0.750 0.096 [2 per cell]
O2 0.291 0.526 0.763 [4 per cell]
O3 0.325 0.529 0.065 [4 per cell]
O4 0.474 0.250 0.354 [2 per cell]

The value obtained for the raw formation energy is -3.21 eV/atom. As for the crystal system: monoclinic. Its total magnetization is 0.00 μB/f.u. Its calculated volume is 379.36 Å³ per cell.

(8)
Entry from Alexandria via LeMat-Bulk: a crystal of Re6Pb6O19 relaxed with PBEsol (meta-GGA SCAN).

abc: 9.309 9.310 9.309
angles: 90.00 90.00 90.00
Space group Pnn2 (No. 34)
Unique sites:
Re1 0.000 0.000 0.000 [2 per cell]
Re2 0.000 0.000 0.262 [2 per cell]
Re3 0.000 0.369 0.131 [4 per cell]
Re4 0.131 0.000 0.631 [4 per cell]
Pb1 0.146 0.354 0.485 [4 per cell]
Pb2 0.146 0.646 0.776 [4 per cell]
Pb3 0.249 0.251 0.880 [4 per cell]
O1 0.000 0.172 0.631 [4 per cell]
O2 0.000 0.500 0.302 [2 per cell]
O3 0.000 0.500 0.630 [2 per cell]
O4 0.000 0.500 0.959 [2 per cell]
O5 0.001 0.214 0.983 [4 per cell]
O6 0.001 0.786 0.278 [4 per cell]
O7 0.147 0.999 0.417 [4 per cell]
O8 0.148 0.001 0.845 [4 per cell]
O9 0.172 0.000 0.131 [4 per cell]
O10 0.214 0.352 0.130 [4 per cell]
O11 0.214 0.647 0.132 [4 per cell]

The value obtained for the raw formation energy is -1.41 eV/atom. As for the crystal system: orthorhombic. Its total magnetization is 0.00 μB/f.u. Its calculated volume is 806.79 Å³ per cell.

(9)
Entry from Alexandria via LeMat-Bulk: a crystal of SrYRe2 relaxed with PBEsol (meta-GGA SCAN).

abc: 5.459 5.459 2.797
angles: 90.00 90.00 90.00
Space group P4/mmm (No. 123)
Unique sites:
Sr1 0.000 0.000 0.000 [1 per cell]
Y1 0.500 0.500 0.000 [1 per cell]
Re1 0.000 0.500 0.500 [2 per cell]

For the formation energy, the calculation gives 1.152 eV/atom. As for the crystal system: tetragonal. Its total magnetization is 0.00 μB/f.u. Its calculated volume is 83.36 Å³ per cell. As for the energy relative to the lowest polymorph listed for this composition: 465 meV/atom.

(10)
Entry from Alexandria via LeMat-Bulk: a crystal of Cd4CuCl relaxed with PBEsol (meta-GGA SCAN).

abc: 8.034 8.034 8.034
angles: 90.00 90.00 90.00
Space group F-43m (No. 216)
Unique sites:
Cd1 0.124 0.124 0.124 [16 per cell]
Cu1 0.250 0.250 0.750 [4 per cell]
Cl1 0.000 0.000 0.500 [4 per cell]

The value obtained for the raw formation energy is 0.23 eV/atom. As for the crystal system: cubic. Its total magnetization is 0.00 μB/f.u. Its calculated volume is 518.55 Å³ per cell.